A plane-wave DFT calculation with GGA-PBE was carried out for crystalline Tl4In12Pb at its relaxed geometry.

Lattice parameters (Å, degrees): 8.926 8.926 8.926 109.49 109.49 109.49
Atoms (fractional coordinates):
Tl (0.000, 0.000, 0.000)
Tl (0.000, 0.500, 0.500)
Tl (0.500, 0.000, 0.500)
Tl (0.500, 0.500, 0.000)
In (0.004, 0.149, 0.355)
In (0.149, 0.355, 0.004)
In (0.149, 0.644, 0.293)
In (0.293, 0.149, 0.644)
In (0.355, 0.004, 0.149)
In (0.356, 0.707, 0.851)
In (0.644, 0.293, 0.149)
In (0.645, 0.996, 0.851)
In (0.707, 0.851, 0.356)
In (0.851, 0.356, 0.707)
In (0.851, 0.645, 0.996)
In (0.996, 0.851, 0.645)
Pb (0.500, 0.500, 0.500)

The symmetry is R-3 (148). The calculation puts the energy of formation from the pure elements at 0.231 eV/atom.

A plane-wave DFT calculation with GGA-PBE was carried out for crystalline Tl2In5Pb at its relaxed geometry.

Lattice parameters (Å, degrees): 4.733 4.733 20.525 90.00 90.00 90.00
Atoms (fractional coordinates):
Tl (0.000, 0.000, 0.248)
Tl (0.000, 0.000, 0.752)
Tl (0.500, 0.500, 0.252)
Tl (0.500, 0.500, 0.748)
In (0.000, 0.000, 0.000)
In (0.000, 0.500, 0.122)
In (0.000, 0.500, 0.378)
In (0.000, 0.500, 0.622)
In (0.000, 0.500, 0.878)
In (0.500, 0.000, 0.122)
In (0.500, 0.000, 0.378)
In (0.500, 0.000, 0.622)
In (0.500, 0.000, 0.878)
In (0.500, 0.500, 0.500)
Pb (0.000, 0.000, 0.500)
Pb (0.500, 0.500, 0.000)

The symmetry is I4/mmm (139). For the energy relative to the lowest polymorph listed for this composition, the calculation gives 0.000 eV per atom. The calculation puts the energy of formation from the pure elements at 0.029 eV/atom.

A plane-wave DFT calculation with GGA-PBE was carried out for crystalline Tl2InPb4 at its relaxed geometry.

Lattice parameters (Å, degrees): 5.832 5.832 15.787 90.00 90.00 90.00
Atoms (fractional coordinates):
Tl (0.000, 0.000, 0.113)
Tl (0.000, 0.000, 0.887)
Tl (0.500, 0.500, 0.387)
Tl (0.500, 0.500, 0.613)
In (0.000, 0.000, 0.500)
In (0.500, 0.500, 0.000)
Pb (0.000, 0.000, 0.311)
Pb (0.000, 0.000, 0.689)
Pb (0.000, 0.500, 0.000)
Pb (0.000, 0.500, 0.500)
Pb (0.500, 0.000, 0.000)
Pb (0.500, 0.000, 0.500)
Pb (0.500, 0.500, 0.189)
Pb (0.500, 0.500, 0.811)

The symmetry is I4/mmm (139). The calculation puts the energy of formation from the pure elements at 0.374 eV/atom.

A plane-wave DFT calculation with GGA-PBE was carried out for crystalline Tl2In2Pb7 at its relaxed geometry.

Lattice parameters (Å, degrees): 6.909 6.909 7.922 105.31 105.31 85.43
Atoms (fractional coordinates):
Tl (0.227, 0.773, 0.000)
Tl (0.773, 0.227, 0.000)
In (0.422, 0.422, 0.702)
In (0.578, 0.578, 0.298)
Pb (0.000, 0.000, 0.500)
Pb (0.119, 0.522, 0.343)
Pb (0.235, 0.235, 0.948)
Pb (0.478, 0.881, 0.657)
Pb (0.522, 0.119, 0.343)
Pb (0.765, 0.765, 0.052)
Pb (0.881, 0.478, 0.657)

The symmetry is C2/m (12). For the energy relative to the lowest polymorph listed for this composition, the calculation gives 0.012 eV per atom. The calculation puts the energy of formation from the pure elements at 0.068 eV/atom.

A plane-wave DFT calculation with GGA-PBE was carried out for crystalline Tl4InPb7 at its relaxed geometry.

Lattice parameters (Å, degrees): 3.487 3.487 35.464 90.00 90.00 120.00
Atoms (fractional coordinates):
Tl (0.333, 0.667, 0.165)
Tl (0.333, 0.667, 0.416)
Tl (0.667, 0.333, 0.584)
Tl (0.667, 0.333, 0.835)
In (0.000, 0.000, 0.000)
Pb (0.000, 0.000, 0.250)
Pb (0.000, 0.000, 0.500)
Pb (0.000, 0.000, 0.750)
Pb (0.333, 0.667, 0.667)
Pb (0.333, 0.667, 0.920)
Pb (0.667, 0.333, 0.080)
Pb (0.667, 0.333, 0.333)

The symmetry is P-3m1 (164). The calculation puts the energy of formation from the pure elements at 0.002 eV/atom.

A plane-wave DFT calculation with GGA-PBE was carried out for crystalline Tl6InPb8 at its relaxed geometry.

Lattice parameters (Å, degrees): 9.366 9.366 6.602 90.00 90.00 120.00
Atoms (fractional coordinates):
Tl (0.107, 0.690, 0.419)
Tl (0.310, 0.417, 0.419)
Tl (0.417, 0.107, 0.581)
Tl (0.583, 0.893, 0.419)
Tl (0.690, 0.583, 0.581)
Tl (0.893, 0.310, 0.581)
In (0.000, 0.000, 0.500)
Pb (0.022, 0.339, 0.089)
Pb (0.317, 0.978, 0.089)
Pb (0.333, 0.667, 0.829)
Pb (0.339, 0.317, 0.911)
Pb (0.661, 0.683, 0.089)
Pb (0.667, 0.333, 0.171)
Pb (0.683, 0.022, 0.911)
Pb (0.978, 0.661, 0.911)

The symmetry is P-3 (147). The calculation puts the energy of formation from the pure elements at 0.090 eV/atom.

A plane-wave DFT calculation with GGA-PBE was carried out for crystalline TlInPb2 at its relaxed geometry.

Lattice parameters (Å, degrees): 4.844 4.973 5.006 90.00 90.00 90.00
Atoms (fractional coordinates):
Tl (0.000, 0.000, 0.000)
In (0.500, 0.000, 0.500)
Pb (0.000, 0.500, 0.500)
Pb (0.500, 0.500, 0.000)

The symmetry is Pmmm (47). For the energy relative to the lowest polymorph listed for this composition, the calculation gives 0.008 eV per atom. The calculation puts the energy of formation from the pure elements at 0.009 eV/atom.

A plane-wave DFT calculation with GGA-PBE was carried out for crystalline TlIn14Pb at its relaxed geometry.

Lattice parameters (Å, degrees): 7.092 7.092 8.791 90.00 90.00 90.00
Atoms (fractional coordinates):
Tl (0.000, 0.000, 0.000)
In (0.000, 0.000, 0.500)
In (0.000, 0.500, 0.000)
In (0.000, 0.500, 0.500)
In (0.250, 0.250, 0.256)
In (0.250, 0.250, 0.744)
In (0.250, 0.750, 0.256)
In (0.250, 0.750, 0.744)
In (0.500, 0.000, 0.000)
In (0.500, 0.000, 0.500)
In (0.500, 0.500, 0.500)
In (0.750, 0.250, 0.256)
In (0.750, 0.250, 0.744)
In (0.750, 0.750, 0.256)
In (0.750, 0.750, 0.744)
Pb (0.500, 0.500, 0.000)

The symmetry is P4/mmm (123). The calculation puts the energy of formation from the pure elements at 0.017 eV/atom.

A plane-wave DFT calculation with GGA-PBE was carried out for crystalline Tl6In7Pb at its relaxed geometry.

Lattice parameters (Å, degrees): 13.604 13.604 13.604 154.26 58.73 128.19
Atoms (fractional coordinates):
Tl (0.047, 0.940, 0.630)
Tl (0.109, 0.754, 0.864)
Tl (0.190, 0.560, 0.107)
Tl (0.310, 0.417, 0.370)
Tl (0.391, 0.254, 0.645)
Tl (0.453, 0.083, 0.893)
Tl (0.547, 0.917, 0.107)
Tl (0.609, 0.746, 0.355)
Tl (0.690, 0.583, 0.630)
Tl (0.810, 0.440, 0.893)
Tl (0.891, 0.246, 0.136)
Tl (0.953, 0.060, 0.370)
In (0.029, 0.249, 0.278)
In (0.102, 0.504, 0.865)
In (0.139, 0.004, 0.403)
In (0.250, 0.250, 0.000)
In (0.361, 0.764, 0.865)
In (0.398, 0.264, 0.403)
In (0.471, 0.749, 0.220)
In (0.529, 0.251, 0.780)
In (0.602, 0.736, 0.597)
In (0.639, 0.236, 0.135)
In (0.750, 0.750, 0.000)
In (0.861, 0.996, 0.597)
In (0.898, 0.496, 0.135)
In (0.971, 0.751, 0.722)
Pb (0.250, 0.750, 0.500)
Pb (0.750, 0.250, 0.500)

The symmetry is Ibam (72). The calculation puts the energy of formation from the pure elements at 0.063 eV/atom.

A plane-wave DFT calculation with GGA-PBE was carried out for crystalline TlIn2Pb5 at its relaxed geometry.

Lattice parameters (Å, degrees): 9.152 9.152 9.152 125.26 125.26 81.10
Atoms (fractional coordinates):
Tl (0.250, 0.250, 0.000)
Tl (0.750, 0.750, 0.000)
In (0.144, 0.644, 0.788)
In (0.356, 0.144, 0.500)
In (0.644, 0.856, 0.500)
In (0.856, 0.356, 0.212)
Pb (0.000, 0.000, 0.000)
Pb (0.013, 0.807, 0.500)
Pb (0.193, 0.693, 0.206)
Pb (0.307, 0.513, 0.500)
Pb (0.487, 0.987, 0.794)
Pb (0.500, 0.500, 0.000)
Pb (0.513, 0.013, 0.206)
Pb (0.693, 0.487, 0.500)
Pb (0.807, 0.307, 0.794)
Pb (0.987, 0.193, 0.500)

The symmetry is I4/mcm (140). For the energy relative to the lowest polymorph listed for this composition, the calculation gives 0.018 eV per atom. The calculation puts the energy of formation from the pure elements at 0.059 eV/atom.

A plane-wave DFT calculation with GGA-PBE was carried out for crystalline Tl4InPb3 at its relaxed geometry.

Lattice parameters (Å, degrees): 20.581 4.984 4.914 90.00 103.75 90.00
Atoms (fractional coordinates):
Tl (0.124, 0.000, 0.124)
Tl (0.249, 0.500, 0.249)
Tl (0.251, 0.000, 0.751)
Tl (0.376, 0.500, 0.876)
Tl (0.624, 0.500, 0.124)
Tl (0.749, 0.000, 0.249)
Tl (0.751, 0.500, 0.751)
Tl (0.876, 0.000, 0.876)
In (0.000, 0.000, 0.500)
In (0.500, 0.500, 0.500)
Pb (0.000, 0.500, 0.000)
Pb (0.120, 0.500, 0.620)
Pb (0.380, 0.000, 0.380)
Pb (0.500, 0.000, 0.000)
Pb (0.620, 0.000, 0.620)
Pb (0.880, 0.500, 0.380)

The symmetry is C2/m (12). The calculation puts the energy of formation from the pure elements at 0.001 eV/atom.

A plane-wave DFT calculation with GGA-PBE was carried out for crystalline Tl2InPb at its relaxed geometry.

Lattice parameters (Å, degrees): 4.864 4.864 10.137 90.00 90.00 90.00
Atoms (fractional coordinates):
Tl (0.000, 0.000, 0.000)
Tl (0.000, 0.500, 0.250)
Tl (0.500, 0.000, 0.750)
Tl (0.500, 0.500, 0.500)
In (0.000, 0.500, 0.750)
In (0.500, 0.000, 0.250)
Pb (0.000, 0.000, 0.500)
Pb (0.500, 0.500, 0.000)

The symmetry is I-4m2 (119). For the energy relative to the lowest polymorph listed for this composition, the calculation gives 0.026 eV per atom. The calculation puts the energy of formation from the pure elements at 0.024 eV/atom.